(1)
A plane-wave DFT calculation with PBE was carried out for a relaxed structure of Sr2Cu2Sn.

The structure in CIF format:
```
data_Sr2Cu2Sn
_cell_length_a 3.636
_cell_length_b 3.636
_cell_length_c 19.696
_cell_angle_alpha 90.00
_cell_angle_beta 90.00
_cell_angle_gamma 90.00
_space_group_name_H-M_alt 'I 4/m m m'
_space_group_IT_number 139
_space_group_name_Hall '-I 4 2'
loop_
_atom_site_label
_atom_site_fract_x
_atom_site_fract_y
_atom_site_fract_z
Sr1 0.000 0.000 0.117
Cu1 0.000 0.500 0.250
Sn1 0.000 0.000 0.500
```

Calculated values
Total energy, Ha/atom: -0.12003

=====

(2)
A plane-wave DFT calculation with PBE was carried out for a relaxed structure of Na2AgHgCl5.

The structure in CIF format:
```
data_Na2AgHgCl5
_cell_length_a 4.062
_cell_length_b 16.000
_cell_length_c 14.421
_cell_angle_alpha 90.00
_cell_angle_beta 90.00
_cell_angle_gamma 90.00
_space_group_name_H-M_alt 'C m c 21'
_space_group_IT_number 36
loop_
_space_group_symop_operation_xyz
'x,y,z'
'-x,-y,z+1/2'
'-x,y,z'
'x,-y,z+1/2'
'x+1/2,y+1/2,z'
'-x+1/2,-y+1/2,z+1/2'
'-x+1/2,y+1/2,z'
'x+1/2,-y+1/2,z+1/2'
loop_
_atom_site_label
_atom_site_fract_x
_atom_site_fract_y
_atom_site_fract_z
Na1 0.000 0.073 0.000
Na2 0.000 0.149 0.587
Ag1 0.000 0.445 0.759
Hg1 0.000 0.248 0.359
Cl1 0.000 0.088 0.378
Cl2 0.000 0.249 0.007
Cl3 0.000 0.271 0.730
Cl4 0.000 0.404 0.366
Cl5 0.000 0.483 0.102
```

Calculated values
Uncorrected formation energy, eV per formula unit: -9.62

=====

(3)
A plane-wave DFT calculation with PBE was carried out for a relaxed structure of Tb3Cu9Ni2.

The structure in CIF format:
```
data_Tb3Cu9Ni2
_cell_length_a 4.152
_cell_length_b 8.815
_cell_length_c 11.934
_cell_angle_alpha 90.00
_cell_angle_beta 90.00
_cell_angle_gamma 90.00
_space_group_name_H-M_alt 'I m m m'
_space_group_IT_number 71
_space_group_name_Hall '-I 2 2'
loop_
_atom_site_label
_atom_site_fract_x
_atom_site_fract_y
_atom_site_fract_z
Tb1 0.000 0.000 0.000
Tb2 0.000 0.000 0.308
Cu1 0.000 0.277 0.119
Cu2 0.000 0.356 0.330
Cu3 0.000 0.500 0.000
Ni1 0.000 0.190 0.500
```

Calculated values
Total energy, Ha/atom: -0.17165

=====

(4)
A plane-wave DFT calculation with PBE was carried out for a relaxed structure of Sr2Li12MgAg3.

The structure in CIF format:
```
data_Sr2Li12MgAg3
_cell_length_a 9.9438
_cell_length_b 9.9438
_cell_length_c 13.9515
_cell_angle_alpha 90.00
_cell_angle_beta 90.00
_cell_angle_gamma 120.00
_space_group_name_H-M_alt 'R -3 m'
_space_group_IT_number 166
_space_group_name_Hall '-R 3 2"'
loop_
_atom_site_label
_atom_site_fract_x
_atom_site_fract_y
_atom_site_fract_z
Sr1 0.0000 0.0000 0.2472
Li1 0.0183 0.5092 0.2008
Li2 0.0434 0.5217 0.6059
Mg1 0.0000 0.0000 0.5000
Ag1 0.0000 0.5000 0.0000
```

Calculated values
Total energy, Ha/atom: -0.07467

=====

(5)
A plane-wave DFT calculation with PBE was carried out for a relaxed structure of LiCu2Au5.

The structure in CIF format:
```
data_LiCu2Au5
_cell_length_a 5.565
_cell_length_b 11.172
_cell_length_c 4.110
_cell_angle_alpha 90.00
_cell_angle_beta 90.00
_cell_angle_gamma 90.00
_space_group_name_H-M_alt 'P b a m'
_space_group_IT_number 55
loop_
_space_group_symop_operation_xyz
'x,y,z'
'-x,-y,-z'
'-x,-y,z'
'x,y,-z'
'x+1/2,-y+1/2,-z'
'-x+1/2,y+1/2,z'
'-x+1/2,y+1/2,-z'
'x+1/2,-y+1/2,z'
loop_
_atom_site_label
_atom_site_fract_x
_atom_site_fract_y
_atom_site_fract_z
Li1 0.000 0.000 0.000
Cu1 0.212 0.370 0.500
Au1 0.000 0.500 0.000
Au2 0.046 0.759 0.000
Au3 0.212 0.113 0.500
```

Calculated values
ΔE to the lowest computed polymorph, meV per atom: 0

=====

(6)
A plane-wave DFT calculation with PBE was carried out for a relaxed structure of PmIn3Rh2.

The structure in CIF format:
```
data_PmIn3Rh2
_cell_length_a 16.277
_cell_length_b 4.225
_cell_length_c 8.754
_cell_angle_alpha 90.00
_cell_angle_beta 119.71
_cell_angle_gamma 90.00
_space_group_name_H-M_alt 'C 1 2/m 1'
_space_group_IT_number 12
loop_
_space_group_symop_operation_xyz
'x,y,z'
'-x,-y,-z'
'-x,y,-z'
'x,-y,z'
'x+1/2,y+1/2,z'
'-x+1/2,-y+1/2,-z'
'-x+1/2,y+1/2,-z'
'x+1/2,-y+1/2,z'
loop_
_atom_site_label
_atom_site_fract_x
_atom_site_fract_y
_atom_site_fract_z
Pm1 0.131 0.000 0.142
In1 0.012 0.000 0.671
In2 0.167 0.500 0.479
In3 0.174 0.500 0.886
Rh1 0.004 0.500 0.153
Rh2 0.206 0.000 0.717
```

Calculated values
ΔE to the lowest computed polymorph, meV per atom: 0

=====

(7)
A plane-wave DFT calculation with PBE was carried out for a relaxed structure of AgTeSCl2.

The structure in CIF format:
```
data_AgTeSCl2
_cell_length_a 4.843
_cell_length_b 4.843
_cell_length_c 5.244
_cell_angle_alpha 90.00
_cell_angle_beta 90.00
_cell_angle_gamma 90.00
_space_group_name_H-M_alt 'P 4/m m m'
_space_group_IT_number 123
_space_group_name_Hall '-P 4 2'
loop_
_atom_site_label
_atom_site_fract_x
_atom_site_fract_y
_atom_site_fract_z
Ag1 0.000 0.000 0.000
Te1 0.500 0.500 0.500
S1 0.000 0.000 0.500
Cl1 0.000 0.500 0.000
```

Calculated values
ΔE to the lowest computed polymorph, meV per atom: 176
Uncorrected formation energy, eV per formula unit: 1.55

=====

(8)
A plane-wave DFT calculation with PBE was carried out for a relaxed structure of BePIr.

The structure in CIF format:
```
data_BePIr
_cell_length_a 2.8479
_cell_length_b 2.8479
_cell_length_c 5.3562
_cell_angle_alpha 90.00
_cell_angle_beta 90.00
_cell_angle_gamma 120.00
_space_group_name_H-M_alt 'P 3 m 1'
_space_group_IT_number 156
loop_
_space_group_symop_operation_xyz
'x,y,z'
'-y,x-y,z'
'-x+y,-x,z'
'-y,-x,z'
'-x+y,y,z'
'x,x-y,z'
loop_
_atom_site_label
_atom_site_fract_x
_atom_site_fract_y
_atom_site_fract_z
Be1 0.0000 0.0000 0.0000
P1 0.3333 0.6667 0.6711
Ir1 0.6667 0.3333 0.3360
```

Calculated values
ΔE to the lowest computed polymorph, meV per atom: 171

=====

(9)
A plane-wave DFT calculation with PBE was carried out for a relaxed structure of Mn2CoH2.

The structure in CIF format:
```
data_Mn2CoH2
_cell_length_a 5.359
_cell_length_b 5.359
_cell_length_c 2.569
_cell_angle_alpha 90.00
_cell_angle_beta 90.00
_cell_angle_gamma 90.00
_space_group_name_H-M_alt 'P 4/m b m'
_space_group_IT_number 127
_space_group_name_Hall '-P 4 2ab'
loop_
_atom_site_label
_atom_site_fract_x
_atom_site_fract_y
_atom_site_fract_z
Mn1 0.134 0.366 0.000
Co1 0.000 0.000 0.500
H1 0.177 0.677 0.500
```

Calculated values
ΔE to the lowest computed polymorph, meV per atom: 0

=====

(10)
A plane-wave DFT calculation with PBE was carried out for a relaxed structure of TbSmZnCr.

The structure in CIF format:
```
data_TbSmZnCr
_cell_length_a 7.223
_cell_length_b 7.223
_cell_length_c 7.223
_cell_angle_alpha 90.00
_cell_angle_beta 90.00
_cell_angle_gamma 90.00
_space_group_name_H-M_alt 'F -4 3 m'
_space_group_IT_number 216
_space_group_name_Hall 'F -4 2 3'
loop_
_atom_site_label
_atom_site_fract_x
_atom_site_fract_y
_atom_site_fract_z
Tb1 0.000 0.000 0.000
Sm1 0.000 0.000 0.500
Zn1 0.250 0.250 0.250
Cr1 0.250 0.250 0.750
```

Calculated values
Total energy, Ha/atom: -0.18489

=====

(11)
A plane-wave DFT calculation with PBE was carried out for a relaxed structure of LaCe12Os6.

The structure in CIF format:
```
data_LaCe12Os6
_cell_length_a 13.0165
_cell_length_b 13.0165
_cell_length_c 9.9186
_cell_angle_alpha 90.00
_cell_angle_beta 90.00
_cell_angle_gamma 120.00
_space_group_name_H-M_alt 'R -3 m'
_space_group_IT_number 166
_space_group_name_Hall '-R 3 2"'
loop_
_atom_site_label
_atom_site_fract_x
_atom_site_fract_y
_atom_site_fract_z
La1 0.0000 0.0000 0.0000
Ce1 0.0000 0.3911 0.5000
Ce2 0.0860 0.1721 0.3439
Os1 0.0331 0.5165 0.2398
```

Calculated values
Total energy, Ha/atom: -0.27931

=====

(12)
A plane-wave DFT calculation with PBE was carried out for a relaxed structure of Tm5GaRh2.

The structure in CIF format:
```
data_Tm5GaRh2
_cell_length_a 7.589
_cell_length_b 7.589
_cell_length_c 12.991
_cell_angle_alpha 90.00
_cell_angle_beta 90.00
_cell_angle_gamma 90.00
_space_group_name_H-M_alt 'I 4/m c m'
_space_group_IT_number 140
_space_group_name_Hall '-I 4 2c'
loop_
_atom_site_label
_atom_site_fract_x
_atom_site_fract_y
_atom_site_fract_z
Tm1 0.000 0.000 0.000
Tm2 0.160 0.340 0.140
Ga1 0.000 0.000 0.250
Rh1 0.139 0.361 0.500
```

Calculated values
Total energy, Ha/atom: -0.20934

=====

(13)
A plane-wave DFT calculation with PBE was carried out for a relaxed structure of Sr2Ga4Ag3Sn.

The structure in CIF format:
```
data_Sr2Ga4Ag3Sn
_cell_length_a 4.482
_cell_length_b 4.482
_cell_length_c 11.474
_cell_angle_alpha 90.00
_cell_angle_beta 90.00
_cell_angle_gamma 90.00
_space_group_name_H-M_alt 'P -4 m 2'
_space_group_IT_number 115
loop_
_space_group_symop_operation_xyz
'x,y,z'
'y,-x,-z'
'-x,-y,z'
'-y,x,-z'
'-x,y,z'
'-y,-x,-z'
'x,-y,z'
'y,x,-z'
loop_
_atom_site_label
_atom_site_fract_x
_atom_site_fract_y
_atom_site_fract_z
Sr1 0.000 0.500 0.243
Ga1 0.000 0.000 0.000
Ga2 0.000 0.500 0.646
Ga3 0.500 0.500 0.000
Ag1 0.000 0.500 0.871
Ag2 0.500 0.500 0.500
Sn1 0.000 0.000 0.500
```

Calculated values
Total energy, Ha/atom: -0.11524

=====

(14)
A plane-wave DFT calculation with PBE was carried out for a relaxed structure of PmCuAg2F6.

The structure in CIF format:
```
data_PmCuAg2F6
_cell_length_a 5.908
_cell_length_b 5.846
_cell_length_c 11.714
_cell_angle_alpha 90.00
_cell_angle_beta 116.92
_cell_angle_gamma 90.00
_space_group_name_H-M_alt 'P 1 21/c 1'
_space_group_IT_number 14
loop_
_space_group_symop_operation_xyz
'x,y,z'
'-x,-y,-z'
'-x,y+1/2,-z+1/2'
'x,-y+1/2,z+1/2'
loop_
_atom_site_label
_atom_site_fract_x
_atom_site_fract_y
_atom_site_fract_z
Pm1 0.000 0.000 0.000
Cu1 0.500 0.000 0.500
Ag1 0.270 0.016 0.756
F1 0.038 0.691 0.342
F2 0.280 0.227 0.502
F3 0.335 0.703 0.644
```

Calculated values
Uncorrected formation energy, eV per formula unit: -21.62

=====

(15)
A plane-wave DFT calculation with PBE was carried out for a relaxed structure of BaSbH.

The structure in CIF format:
```
data_BaSbH
_cell_length_a 5.038
_cell_length_b 5.038
_cell_length_c 7.804
_cell_angle_alpha 90.00
_cell_angle_beta 90.00
_cell_angle_gamma 90.00
_space_group_name_H-M_alt 'I 4 m m'
_space_group_IT_number 107
_space_group_name_Hall 'I 4 -2'
loop_
_atom_site_label
_atom_site_fract_x
_atom_site_fract_y
_atom_site_fract_z
Ba1 0.000 0.000 0.000
Sb1 0.000 0.000 0.434
H1 0.000 0.000 0.657
```

Calculated values
ΔE to the lowest computed polymorph, meV per atom: 153

=====

(16)
A plane-wave DFT calculation with PBE was carried out for a relaxed structure of Li2TaIrO6.

The structure in CIF format:
```
data_Li2TaIrO6
_cell_length_a 5.629
_cell_length_b 5.629
_cell_length_c 3.863
_cell_angle_alpha 90.00
_cell_angle_beta 90.00
_cell_angle_gamma 90.00
_space_group_name_H-M_alt 'P 4 m m'
_space_group_IT_number 99
loop_
_space_group_symop_operation_xyz
'x,y,z'
'-y,x,z'
'-x,-y,z'
'y,-x,z'
'-x,y,z'
'y,x,z'
'x,-y,z'
'-y,-x,z'
loop_
_atom_site_label
_atom_site_fract_x
_atom_site_fract_y
_atom_site_fract_z
Li1 0.000 0.500 0.000
Ta1 0.000 0.000 0.838
Ir1 0.500 0.500 0.860
O1 0.000 0.000 0.350
O2 0.250 0.250 0.869
O3 0.500 0.500 0.362
```

Calculated values
Uncorrected formation energy, eV per formula unit: -17.79

=====

(17)
A plane-wave DFT calculation with PBE was carried out for a relaxed structure of Ba4Ga3Pb.

The structure in CIF format:
```
data_Ba4Ga3Pb
_cell_length_a 4.658
_cell_length_b 5.147
_cell_length_c 12.671
_cell_angle_alpha 90.00
_cell_angle_beta 90.00
_cell_angle_gamma 90.00
_space_group_name_H-M_alt 'P m m 2'
_space_group_IT_number 25
loop_
_space_group_symop_operation_xyz
'x,y,z'
'-x,-y,z'
'-x,y,z'
'x,-y,z'
loop_
_atom_site_label
_atom_site_fract_x
_atom_site_fract_y
_atom_site_fract_z
Ba1 0.000 0.000 0.000
Ba2 0.000 0.500 0.490
Ba3 0.500 0.000 0.712
Ba4 0.500 0.500 0.215
Ga1 0.000 0.000 0.302
Ga2 0.500 0.000 0.405
Ga3 0.500 0.500 0.929
Pb1 0.000 0.500 0.788
```

Calculated values
Total energy, Ha/atom: -0.10914

=====

(18)
A plane-wave DFT calculation with PBE was carried out for a relaxed structure of MnCuTc.

The structure in CIF format:
```
data_MnCuTc
_cell_length_a 2.587
_cell_length_b 3.805
_cell_length_c 7.761
_cell_angle_alpha 90.00
_cell_angle_beta 90.00
_cell_angle_gamma 90.00
_space_group_name_H-M_alt 'I m m 2'
_space_group_IT_number 44
loop_
_space_group_symop_operation_xyz
'x,y,z'
'-x,-y,z'
'-x,y,z'
'x,-y,z'
'x+1/2,y+1/2,z+1/2'
'-x+1/2,-y+1/2,z+1/2'
'-x+1/2,y+1/2,z+1/2'
'x+1/2,-y+1/2,z+1/2'
loop_
_atom_site_label
_atom_site_fract_x
_atom_site_fract_y
_atom_site_fract_z
Mn1 0.000 0.000 0.000
Cu1 0.000 0.000 0.335
Tc1 0.000 0.000 0.667
```

Calculated values
ΔE to the lowest computed polymorph, meV per atom: 16

=====

(19)
A plane-wave DFT calculation with PBE was carried out for a relaxed structure of NdZn5CuPd2.

The structure in CIF format:
```
data_NdZn5CuPd2
_cell_length_a 4.822
_cell_length_b 4.822
_cell_length_c 7.389
_cell_angle_alpha 90.00
_cell_angle_beta 90.00
_cell_angle_gamma 90.00
_space_group_name_H-M_alt 'P 4/m m m'
_space_group_IT_number 123
_space_group_name_Hall '-P 4 2'
loop_
_atom_site_label
_atom_site_fract_x
_atom_site_fract_y
_atom_site_fract_z
Nd1 0.000 0.000 0.000
Zn1 0.000 0.500 0.312
Zn2 0.500 0.500 0.000
Cu1 0.000 0.000 0.500
Pd1 0.500 0.500 0.320
```

Calculated values
Total energy, Ha/atom: -0.10957

=====

(20)
A plane-wave DFT calculation with PBE was carried out for a relaxed structure of SnS2NO.

The structure in CIF format:
```
data_SnS2NO
_cell_length_a 4.188
_cell_length_b 4.188
_cell_length_c 4.160
_cell_angle_alpha 90.00
_cell_angle_beta 90.00
_cell_angle_gamma 90.00
_space_group_name_H-M_alt 'P 4/m m m'
_space_group_IT_number 123
_space_group_name_Hall '-P 4 2'
loop_
_atom_site_label
_atom_site_fract_x
_atom_site_fract_y
_atom_site_fract_z
Sn1 0.000 0.000 0.000
S1 0.000 0.500 0.500
N1 0.500 0.500 0.000
O1 0.500 0.500 0.500
```

Calculated values
ΔE to the lowest computed polymorph, meV per atom: 0
Uncorrected formation energy, eV per formula unit: 5.94